Entry a
TlSi2Os: relaxed, GGA-PBEsol.

Computed properties:
space-group type: C2/m (12)

POSCAR file:
```
TlSi2Os
1.0
3.172 0.031 0.044
-0.060 4.631 -0.005
-0.060 -1.489 4.385
Os Tl Si
1 1 2
Cartesian
1.526 1.586 2.212
1.586 0.016 0.022
-0.030 2.315 -0.002
-0.030 -0.745 2.192
```



Entry b
TlSi2Os: relaxed, GGA-PBEsol.

Computed properties:
space-group type: I-4m2 (119)

POSCAR file:
```
TlSi2Os
1.0
4.073 0.000 0.000
0.000 4.073 0.000
-2.036 -2.036 3.870
Si Tl Os
2 1 1
Cartesian
0.000 0.000 0.000
2.036 0.000 1.935
2.036 2.036 0.000
0.000 2.036 1.935
```



Most stable structure: entry a



Entry a
Sr2TaOs: relaxed, GGA-PBEsol.

Computed properties:
space-group type: P4mm (99)

POSCAR file:
```
Sr2TaOs
1.0
-1.624 2.146 2.200
-2.748 0.100 -2.126
-3.770 -7.486 4.522
Sr Ta Os
2 1 1
Cartesian
-3.480 -6.910 4.174
-3.385 -1.258 1.475
-2.208 -4.384 2.648
-4.724 -3.917 3.081
```



Entry b
Sr2TaOs: relaxed, GGA-PBEsol.

Computed properties:
space-group type: Pmmm (47)

POSCAR file:
```
Sr2TaOs
1.0
-2.507 -0.257 1.470
-1.547 -3.845 -3.310
2.368 -3.851 3.367
Ta Sr Os
1 2 1
Cartesian
-2.027 -2.051 -0.920
1.760 -2.862 2.503
0.608 -0.988 0.864
-0.843 -3.976 0.763
```



Most stable structure: entry a



Entry a
SrTa2Os: relaxed, GGA-PBEsol.

Computed properties:
space-group type: P2/m (10)

POSCAR file:
```
SrTa2Os
1.0
-0.103 0.284 2.988
-0.824 -3.661 0.319
7.573 -1.697 0.095
Ta Os Sr
2 1 1
Cartesian
6.316 -1.404 0.203
1.153 -0.008 2.880
-0.464 -1.688 1.654
3.323 -2.537 1.701
```



Entry b
SrTa2Os: relaxed, GGA-PBEsol.

Computed properties:
space-group type: Pmmm (47)

POSCAR file:
```
SrTa2Os
1.0
-2.520 0.011 -1.882
-1.753 -3.807 2.324
-2.344 3.005 3.155
Ta Os Sr
2 1 1
Cartesian
0.000 0.000 0.000
-2.432 1.508 0.637
-2.136 -1.898 0.221
-2.048 -0.401 2.740
```



Most stable structure: entry a



Entry a
SrTe2Os: relaxed, GGA-PBEsol.

Computed properties:
space-group type: Amm2 (38)

POSCAR file:
```
SrTe2Os
1.0
-1.605 2.122 2.723
-2.451 -3.890 1.586
5.908 0.560 3.047
Te Sr Os
2 1 1
Cartesian
3.054 -3.211 4.303
1.974 0.239 3.639
-1.189 -1.132 2.843
1.507 -0.446 1.236
```



Entry b
SrTe2Os: relaxed, GGA-PBEsol.

Computed properties:
space-group type: P4/mmm (123)

POSCAR file:
```
SrTe2Os
1.0
-0.540 -0.149 -3.413
3.336 -0.770 -0.494
-1.663 -7.589 0.594
Os Sr Te
1 1 2
Cartesian
1.398 -0.459 -1.954
0.567 -4.254 -1.657
-0.334 -1.525 0.119
-1.329 -6.064 0.475
```



Most stable structure: entry a



Entry a
Sr2TlOs: relaxed, GGA-PBEsol.

Computed properties:
space-group type: P4/mmm (123)

POSCAR file:
```
Sr2TlOs
1.0
-2.408 -0.312 3.176
-3.363 -2.600 -2.806
2.284 -4.362 1.303
Sr Os Tl
2 1 1
Cartesian
-1.681 -1.300 -1.403
1.142 -2.181 0.652
-1.204 -0.156 1.588
-1.743 -3.637 0.837
```



Entry b
Sr2TlOs: relaxed, GGA-PBEsol.

Computed properties:
space-group type: R-3m (166)

POSCAR file:
```
Sr2TlOs
1.0
3.523 0.000 0.000
1.762 3.051 0.000
1.762 1.017 10.159
Tl Os Sr
1 1 2
Cartesian
3.523 2.034 5.080
0.000 0.000 0.000
1.762 1.017 2.151
5.285 3.051 8.009
```



Most stable structure: entry a



Entry a
SrOs2W: relaxed, GGA-PBEsol.

Computed properties:
space-group type: R-3m (166)

POSCAR file:
```
SrOs2W
1.0
2.856 0.000 0.000
1.428 2.473 0.000
1.428 0.824 9.667
Os W Sr
2 1 1
Cartesian
4.284 2.473 7.553
1.428 0.824 2.115
0.000 0.000 0.000
2.856 1.649 4.834
```



Entry b
SrOs2W: relaxed, GGA-PBEsol.

Computed properties:
space-group type: Cmmm (65)

POSCAR file:
```
SrOs2W
1.0
2.790 0.000 0.000
0.000 5.018 0.009
0.000 -0.948 4.927
Os Sr W
2 1 1
Cartesian
0.000 2.509 0.004
0.000 -0.474 2.464
1.395 0.000 0.000
1.395 2.035 2.468
```



Most stable structure: entry a



Entry a
SrY2Os: relaxed, GGA-PBEsol.

Computed properties:
space-group type: P2/m (10)

POSCAR file:
```
SrY2Os
1.0
3.419 0.000 0.026
0.000 3.419 0.000
-0.085 0.000 9.817
Os Sr Y
1 1 2
Cartesian
1.709 1.709 0.013
1.667 1.709 4.922
-0.013 0.000 1.614
3.346 0.000 8.229
```



Entry b
SrY2Os: relaxed, GGA-PBEsol.

Computed properties:
space-group type: Pmmm (47)

POSCAR file:
```
SrY2Os
1.0
4.194 0.000 0.000
0.000 4.802 0.000
0.000 0.000 4.834
Y Os Sr
2 1 1
Cartesian
0.000 0.000 0.000
0.000 2.401 2.417
2.097 2.401 0.000
2.097 0.000 2.417
```



Most stable structure: entry a



Entry a
Sr2ZrOs: relaxed, GGA-PBEsol.

Computed properties:
space-group type: P4/mmm (123)

POSCAR file:
```
Sr2ZrOs
1.0
3.165 0.000 0.000
0.000 3.165 0.000
0.000 0.000 10.308
Sr Zr Os
2 1 1
Cartesian
0.000 0.000 3.080
0.000 0.000 7.229
1.583 1.583 0.000
1.583 1.583 5.154
```



Entry b
Sr2ZrOs: relaxed, GGA-PBEsol.

Computed properties:
space-group type: Pmmm (47)

POSCAR file:
```
Sr2ZrOs
1.0
-2.938 1.060 0.205
-0.488 -2.248 4.649
1.957 4.922 2.586
Sr Zr Os
2 1 1
Cartesian
0.515 1.296 0.681
1.442 3.626 1.905
-1.713 -0.594 2.427
-0.734 1.867 3.719
```



Entry c
Sr2ZrOs: relaxed, GGA-PBEsol.

Computed properties:
space-group type: F-43m (216)

POSCAR file:
```
Sr2ZrOs
1.0
-3.021 -1.636 3.791
-3.318 -3.804 -0.833
0.796 -4.595 2.103
Zr Os Sr
1 1 2
Cartesian
-2.771 -5.017 2.530
-1.386 -2.509 1.265
-4.157 -7.526 3.795
0.000 0.000 0.000
```



Most stable structure: entry c